Computed, not measured: an optimized crystal structure of Nd2CoOs3 at the GGA-PBE level of DFT.

M_tot (μB per atom): 0.11
Energy of formation (eV/atom): -0.10
Symmetry: No. 166
N(E_F) (states/eV/cell): 6.04

Cell and atoms, written as POSCAR:
```
Nd2CoOs3
1.0
2.661 1.536 4.496
-2.661 1.536 4.496
0.000 -3.072 4.496
Nd Co Os
2 1 3
Cartesian
0.000 0.000 1.674 Nd
0.000 0.000 11.815 Nd
0.000 0.000 6.744 Co
-1.330 -0.768 4.496 Os
-1.330 0.768 8.993 Os
0.000 1.536 4.496 Os
```